Here is Ag3SnSe4 after structural relaxation from OQMD via LeMat-Bulk. Energies are from GGA-PBE.

* final energy: -3.495 eV/atom
* symmetry: I-42m (121)

a b c (Å): 7.381 7.381 7.381
angles (deg): 131.72 131.72 70.67
Positions (direct):
Se  0.877  0.373  0.000
Se  0.123  0.123  0.496
Ag  0.250  0.750  0.500
Se  0.627  0.627  0.504
Ag  0.750  0.250  0.500
Se  0.373  0.877  0.000
Sn  0.000  0.000  0.000
Ag  0.500  0.500  0.000

Here is TbAgSnSe3 after structural relaxation from OQMD via LeMat-Bulk. Energies are from GGA-PBE.

* energy above the lowest structure with this stoichiometry: 0 meV per atom
* symmetry: Cmcm (63)

a b c (Å): 7.136 7.136 10.654
angles (deg): 90.00 90.00 33.42
Positions (direct):
Se  0.646  0.646  0.554
Ag  0.470  0.470  0.250
Se  0.096  0.096  0.250
Se  0.354  0.354  0.446
Tb  0.000  0.000  0.000
Sn  0.239  0.239  0.750
Se  0.904  0.904  0.750
Se  0.354  0.354  0.054
Sn  0.761  0.761  0.250
Se  0.646  0.646  0.946
Ag  0.530  0.530  0.750
Tb  0.000  0.000  0.500

Here is TbAgSnSe3 after structural relaxation from OQMD via LeMat-Bulk. Energies are from GGA-PBE.

* energy above the lowest structure with this stoichiometry: 24 meV per atom
* symmetry: Pnma (62)

a b c (Å): 11.936 4.258 12.011
angles (deg): 90.00 90.00 90.00
Positions (direct):
Ag  0.743  0.500  0.693
Ag  0.257  0.000  0.307
Se  0.586  0.000  0.065
Sn  0.328  0.500  0.508
Tb  0.978  0.500  0.320
Se  0.086  0.000  0.435
Tb  0.522  0.000  0.820
Se  0.414  0.500  0.935
Se  0.235  0.500  0.169
Se  0.735  0.500  0.331
Sn  0.672  0.000  0.492
Sn  0.172  0.000  0.008
Se  0.765  0.000  0.831
Tb  0.022  0.000  0.680
Tb  0.478  0.500  0.180
Se  0.473  0.000  0.358
Ag  0.757  0.000  0.193
Se  0.973  0.000  0.142
Se  0.027  0.500  0.858
Se  0.265  0.000  0.669
Se  0.914  0.500  0.565
Sn  0.828  0.500  0.992
Se  0.527  0.500  0.642
Ag  0.243  0.500  0.807

Here is TlAgSnTe2Se after structural relaxation from OQMD via LeMat-Bulk. Energies are from GGA-PBE.

* final energy: -3.353 eV/atom
* symmetry: Cmcm (63)

a b c (Å): 7.207 7.207 11.587
angles (deg): 90.00 90.00 146.21
Positions (direct):
Sn  0.000  0.000  0.000
Sn  0.000  0.000  0.500
Tl  0.287  0.713  0.250
Se  0.034  0.966  0.750
Te  0.657  0.343  0.476
Tl  0.713  0.287  0.750
Se  0.966  0.034  0.250
Ag  0.594  0.406  0.250
Te  0.343  0.657  0.524
Ag  0.406  0.594  0.750
Te  0.343  0.657  0.976
Te  0.657  0.343  0.024

Here is YAgSnTeSe2 after structural relaxation from OQMD via LeMat-Bulk. Energies are from GGA-PBE.

* final energy: -4.720 eV/atom
* symmetry: Cmcm (63)

a b c (Å): 7.323 7.323 11.108
angles (deg): 90.00 90.00 147.23
Positions (direct):
Ag  0.027  0.973  0.750
Se  0.862  0.138  0.442
Te  0.392  0.608  0.750
Ag  0.973  0.027  0.250
Te  0.608  0.392  0.250
Sn  0.715  0.285  0.750
Y  0.500  0.500  0.000
Se  0.862  0.138  0.058
Se  0.138  0.862  0.558
Se  0.138  0.862  0.942
Y  0.500  0.500  0.500
Sn  0.285  0.715  0.250

Here is TmAgSnSe3 after structural relaxation from OQMD via LeMat-Bulk. Energies are from GGA-PBE.

* energy above the lowest structure with this stoichiometry: 9 meV per atom
* symmetry: Cmcm (63)

a b c (Å): 7.102 7.102 10.546
angles (deg): 90.00 90.00 33.36
Positions (direct):
Tm  0.000  0.000  0.000
Sn  0.240  0.240  0.250
Se  0.644  0.644  0.049
Ag  0.533  0.533  0.250
Tm  0.000  0.000  0.500
Se  0.356  0.356  0.951
Se  0.906  0.906  0.250
Ag  0.467  0.467  0.750
Se  0.094  0.094  0.750
Se  0.644  0.644  0.451
Se  0.356  0.356  0.549
Sn  0.760  0.760  0.750

Here is TmAgSnSe3 after structural relaxation from OQMD via LeMat-Bulk. Energies are from GGA-PBE.

* energy above the lowest structure with this stoichiometry: 0 meV per atom
* symmetry: Pnma (62)

a b c (Å): 12.574 4.044 12.579
angles (deg): 90.00 90.00 90.00
Positions (direct):
Sn  0.578  0.500  0.319
Se  0.209  0.500  0.261
Se  0.291  0.500  0.761
Se  0.815  0.500  0.010
Ag  0.105  0.000  0.802
Se  0.449  0.000  0.105
Sn  0.422  0.000  0.681
Tm  0.845  0.000  0.514
Se  0.315  0.000  0.490
Se  0.051  0.000  0.605
Ag  0.895  0.500  0.198
Se  0.791  0.000  0.739
Sn  0.922  0.500  0.819
Se  0.949  0.500  0.395
Tm  0.345  0.500  0.986
Se  0.685  0.500  0.510
Ag  0.605  0.500  0.698
Se  0.551  0.500  0.895
Tm  0.155  0.500  0.486
Se  0.709  0.000  0.239
Ag  0.395  0.000  0.302
Sn  0.078  0.000  0.181
Tm  0.655  0.000  0.014
Se  0.185  0.000  0.990

Here is YAgSnSe3 after structural relaxation from OQMD via LeMat-Bulk. Energies are from GGA-PBE.

* energy above the lowest structure with this stoichiometry: 25 meV per atom
* symmetry: Pnma (62)

a b c (Å): 12.016 4.231 12.040
angles (deg): 90.00 90.00 90.00
Positions (direct):
Sn  0.987  0.500  0.829
Sn  0.513  0.500  0.329
Se  0.671  0.000  0.264
Se  0.646  0.500  0.526
Ag  0.186  0.000  0.760
Se  0.564  0.500  0.914
Y  0.322  0.500  0.977
Y  0.178  0.500  0.477
Se  0.829  0.000  0.764
Se  0.146  0.000  0.974
Ag  0.686  0.500  0.740
Y  0.822  0.000  0.523
Y  0.678  0.000  0.023
Se  0.436  0.000  0.086
Se  0.936  0.500  0.414
Ag  0.314  0.000  0.260
Se  0.854  0.500  0.026
Se  0.354  0.000  0.474
Sn  0.487  0.000  0.671
Se  0.329  0.500  0.736
Sn  0.013  0.000  0.171
Ag  0.814  0.500  0.240
Se  0.171  0.500  0.236
Se  0.064  0.000  0.586